Density functional theory data (PBE) for crystalline SmTm3Ru at its relaxed geometry.

Computed properties:
- ΔE_f (eV per atom) = -0.21
- total moment (μB/atom) = 0.00
- D(E_F) (states/eV/f.u.) = 5.69
- relative energy among the computed polymorphs (kcal/mol of atoms) = 0.00

Geometry as POSCAR:
```
SmTm3Ru
1.0
-6.7124 2.4211 1.2413
0.2668 -2.8636 -6.6474
1.9792 -5.1130 4.6224
Tm Ru Sm
6 2 2
Direct
0.7007 0.4443 0.1449 Tm
0.7550 0.5460 0.6965 Tm
0.2450 0.4540 0.3035 Tm
0.8495 0.0585 0.3035 Tm
0.1505 0.9415 0.6965 Tm
0.2993 0.5557 0.8551 Tm
0.3634 0.2532 0.6166 Ru
0.6366 0.7468 0.3834 Ru
0.7145 0.0530 0.7675 Sm
0.2855 0.9470 0.2325 Sm
```


Density functional theory data (PBE) for crystalline Rb2TmTlF6 at its relaxed geometry.

Computed properties:
- total moment (μB/atom) = 0.00
- D(E_F) (states/eV/f.u.) = 0.00
- final energy (eV for the cell shown) = -103.16

Geometry as POSCAR:
```
Rb2TmTlF6
1.0
6.6186 0.0000 -0.0106
0.0000 6.8316 0.0000
0.0425 0.0000 9.4225
F Tm Rb Tl
12 2 4 2
Direct
0.7385 0.3226 0.9563 F
0.1693 0.2452 0.0652 F
0.2615 0.6774 0.0437 F
0.2385 0.1774 0.4563 F
0.3993 0.9505 0.7148 F
0.7615 0.8226 0.5437 F
0.6693 0.2548 0.5652 F
0.6007 0.0495 0.2852 F
0.1007 0.4505 0.7852 F
0.8307 0.7548 0.9348 F
0.8993 0.5495 0.2148 F
0.3307 0.7452 0.4348 F
0.0000 0.5000 0.0000 Tm
0.5000 0.0000 0.5000 Tm
0.5136 0.5441 0.7527 Rb
0.9864 0.0441 0.7473 Rb
0.0136 0.9559 0.2527 Rb
0.4864 0.4559 0.2473 Rb
0.5000 0.0000 0.0000 Tl
0.0000 0.5000 0.5000 Tl
```


Density functional theory data (PBE) for crystalline SrHo3Zn4 at its relaxed geometry.

Computed properties:
- ΔE_f (eV per atom) = -0.26
- total moment (μB/atom) = 0.00
- D(E_F) (states/eV/f.u.) = 6.58

Geometry as POSCAR:
```
SrHo3Zn4
1.0
5.1259 0.0000 0.0000
0.0000 7.2608 0.0000
0.0000 0.0000 10.2548
Ho Zn Sr
6 8 2
Direct
0.0000 0.0000 0.0000 Ho
0.4994 0.0000 0.7500 Ho
0.0000 0.0000 0.5000 Ho
0.4996 0.5000 0.7500 Ho
0.5006 0.0000 0.2500 Ho
0.5004 0.5000 0.2500 Ho
0.5000 0.2303 0.0000 Zn
0.0008 0.7696 0.2500 Zn
0.5000 0.2303 0.5000 Zn
0.5000 0.7697 0.0000 Zn
0.9992 0.2304 0.7500 Zn
0.9992 0.7696 0.7500 Zn
0.0008 0.2304 0.2500 Zn
0.5000 0.7697 0.5000 Zn
0.0000 0.5000 0.5000 Sr
0.0000 0.5000 0.0000 Sr
```


Copy entry 3 word for word.
Density functional theory data (PBE) for crystalline SrHo3Zn4 at its relaxed geometry.

Computed properties:
- ΔE_f (eV per atom) = -0.26
- total moment (μB/atom) = 0.00
- D(E_F) (states/eV/f.u.) = 6.58

Geometry as POSCAR:
```
SrHo3Zn4
1.0
5.1259 0.0000 0.0000
0.0000 7.2608 0.0000
0.0000 0.0000 10.2548
Ho Zn Sr
6 8 2
Direct
0.0000 0.0000 0.0000 Ho
0.4994 0.0000 0.7500 Ho
0.0000 0.0000 0.5000 Ho
0.4996 0.5000 0.7500 Ho
0.5006 0.0000 0.2500 Ho
0.5004 0.5000 0.2500 Ho
0.5000 0.2303 0.0000 Zn
0.0008 0.7696 0.2500 Zn
0.5000 0.2303 0.5000 Zn
0.5000 0.7697 0.0000 Zn
0.9992 0.2304 0.7500 Zn
0.9992 0.7696 0.7500 Zn
0.0008 0.2304 0.2500 Zn
0.5000 0.7697 0.5000 Zn
0.0000 0.5000 0.5000 Sr
0.0000 0.5000 0.0000 Sr
```